The following is a DFT calculation (PBE) of crystalline Ce3ThPb3 at its relaxed geometry.

Lattice parameters (Å, degrees): 5.642 9.301 9.301 120.00 90.00 90.00
Fractional coordinates of all 14 atoms:
Ce 0.250 0.779 0.761
Ce 0.250 0.239 0.017
Ce 0.250 0.983 0.221
Ce 0.750 0.221 0.239
Ce 0.750 0.761 0.983
Ce 0.750 0.017 0.779
Th 0.250 0.667 0.333
Th 0.750 0.333 0.667
Pb 0.750 0.625 0.546
Pb 0.750 0.454 0.079
Pb 0.750 0.921 0.375
Pb 0.250 0.375 0.454
Pb 0.250 0.546 0.921
Pb 0.250 0.079 0.625

- volume (Å³/cell) = 423
- calculated formation energy (eV per formula unit) = -1.303
- magnetization (μB/f.u.) = 2.9
- energy (eV per cell) = -75.30